# CoPdO2 (PBE+U, optimized geometry)
# - electronic total energy (eV per atom) = -5.276
# - total magnetic moment (μB/cell) = 3.1
data_CoPdO2
_space_group_name_H-M_alt 'R -3 m'
_space_group_IT_number 166
_space_group_name_Hall '-R 3 2"'
_cell_length_a 3.1647
_cell_length_b 3.1647
_cell_length_c 17.4433
_cell_angle_alpha 90.00
_cell_angle_beta 90.00
_cell_angle_gamma 120.00
loop_
_atom_site_label
_atom_site_fract_x
_atom_site_fract_y
_atom_site_fract_z
Co1 0.0000 0.0000 0.0000
Pd1 0.0000 0.0000 0.5000
O1 0.0000 0.0000 0.1021